First-principles (PBE) data for a geometry-optimized PmNd2Tm8 structure, as listed in the Alexandria database.

* offset from the most stable computed form: 0.089 eV per atom

abc: 9.3722 9.3722 9.3722
angles: 146.15 129.30 62.36
With the nearest neighbours (Å) after each atom.
Sites, in units of the cell vectors:
1 Pm 0.0000 0.0000 0.0000  8 Tm 3.23-3.60
2 Nd 0.2996 0.2996 0.0000  10 Tm 3.35-3.62
3 Nd 0.7004 0.7004 0.0000  10 Tm 3.35-3.62
4 Tm 0.1530 0.8612 0.2918  1 Pm 3.23, 5 Tm 3.34-3.61, 3 Nd 3.35-3.48
5 Tm 0.1606 0.6606 0.5000  8 Tm 3.49-3.63, 2 Nd 3.52, 2 Pm 3.75
6 Tm 0.2927 0.5000 0.7927  7 Tm 3.33-3.52, 2 Pm 3.60, 2 Nd 3.62
7 Tm 0.4305 0.1388 0.2918  1 Pm 3.23, 5 Tm 3.34-3.61, 3 Nd 3.35-3.48
8 Tm 0.5695 0.8612 0.7082  1 Pm 3.23, 5 Tm 3.34-3.61, 3 Nd 3.35-3.48
9 Tm 0.7073 0.5000 0.2073  7 Tm 3.33-3.52, 2 Pm 3.60, 2 Nd 3.62
10 Tm 0.8394 0.3394 0.5000  8 Tm 3.49-3.63, 2 Nd 3.52, 2 Pm 3.75
11 Tm 0.8470 0.1388 0.7082  1 Pm 3.23, 5 Tm 3.34-3.61, 3 Nd 3.35-3.48

***

First-principles (PBE) data for a geometry-optimized Pm2Nd2Tm3 structure, as listed in the Alexandria database.

* offset from the most stable computed form: 0.114 eV per atom

abc: 8.6435 8.6435 8.7783
angles: 116.15 116.15 23.40
With the nearest neighbours (Å) after each atom.
Sites, in units of the cell vectors:
1 Pm 0.1393 0.1393 0.4068  4 Pm 3.51-3.78, 5 Tm 3.58-3.72, 4 Nd 3.64-3.82
2 Pm 0.8607 0.8607 0.5932  4 Pm 3.51-3.78, 5 Tm 3.58-3.72, 4 Nd 3.64-3.82
3 Nd 0.4197 0.4197 0.2950  3 Nd 3.40-3.51, 4 Tm 3.42-3.49, 2 Pm 3.64
4 Nd 0.5803 0.5803 0.7050  3 Nd 3.40-3.51, 4 Tm 3.42-3.49, 2 Pm 3.64
5 Tm 0.2799 0.2799 0.8567  5 Tm 3.35-3.57, 3 Nd 3.49, 3 Pm 3.58-3.63
6 Tm 0.5000 0.5000 0.0000  4 Tm 3.35-3.51, 2 Nd 3.42, 4 Pm 3.72
7 Tm 0.7201 0.7201 0.1433  5 Tm 3.35-3.57, 3 Nd 3.49, 3 Pm 3.58-3.63

***

First-principles (PBE) data for a geometry-optimized PmNdTm structure, as listed in the Alexandria database.

* offset from the most stable computed form: 0.028 eV per atom

abc: 3.6095 5.0910 10.8142
angles: 90.00 90.02 90.00
With the nearest neighbours (Å) after each atom.
Sites, in units of the cell vectors:
1 Pm 0.2493 0.2500 0.4139  6 Pm 3.61-3.64, 1 Tm 3.61, 5 Nd 3.62-3.69
2 Pm 0.7507 0.7500 0.5861  6 Pm 3.61-3.64, 1 Tm 3.61, 5 Nd 3.62-3.69
3 Nd 0.2512 0.2500 0.7552  5 Tm 3.51-3.60, 2 Nd 3.61, 5 Pm 3.62-3.69
4 Nd 0.7488 0.7500 0.2448  5 Tm 3.51-3.60, 2 Nd 3.61, 5 Pm 3.62-3.69
5 Tm 0.2496 0.2500 0.0800  5 Nd 3.51-3.60, 6 Tm 3.57-3.61, 1 Pm 3.61
6 Tm 0.7504 0.7500 0.9200  5 Nd 3.51-3.60, 6 Tm 3.57-3.61, 1 Pm 3.61

***

First-principles (PBE) data for a geometry-optimized PmNd8Tm4 structure, as listed in the Alexandria database.

abc: 10.4150 10.4150 10.4150
angles: 41.13 41.13 41.13
With the nearest neighbours (Å) after each atom.
Sites, in units of the cell vectors:
1 Pm 0.0000 0.0000 0.0000  6 Nd 3.04
2 Nd 0.2516 0.2516 0.7042  1 Pm 3.04, 2 Nd 3.31, 1 Tm 3.38
3 Nd 0.2516 0.7042 0.2516  1 Pm 3.04, 2 Nd 3.31, 1 Tm 3.38
4 Nd 0.2851 0.2851 0.2851  9 Nd 3.71-3.86, 3 Tm 3.99
5 Nd 0.2958 0.7484 0.7484  1 Pm 3.04, 2 Nd 3.31, 1 Tm 3.38
6 Nd 0.7042 0.2516 0.2516  1 Pm 3.04, 2 Nd 3.31, 1 Tm 3.38
7 Nd 0.7149 0.7149 0.7149  9 Nd 3.71-3.86, 3 Tm 3.99
8 Nd 0.7484 0.2958 0.7484  1 Pm 3.04, 2 Nd 3.31, 1 Tm 3.38
9 Nd 0.7484 0.7484 0.2958  1 Pm 3.04, 2 Nd 3.31, 1 Tm 3.38
10 Tm 0.0000 0.0000 0.5000  6 Nd 3.56-3.99, 6 Tm 3.66
11 Tm 0.0000 0.5000 0.0000  6 Nd 3.56-3.99, 6 Tm 3.66
12 Tm 0.5000 0.0000 0.0000  6 Nd 3.56-3.99, 6 Tm 3.66
13 Tm 0.5000 0.5000 0.5000  6 Nd 3.38, 6 Tm 3.66

***

First-principles (PBE) data for a geometry-optimized Pm4Nd11Tm9 structure, as listed in the Alexandria database.

abc: 15.3340 15.3340 3.7040
angles: 90.00 90.00 113.11
With the nearest neighbours (Å) after each atom.
Sites, in units of the cell vectors:
1 Pm 0.0551 0.2564 0.0000  6 Nd 3.30-3.43, 3 Tm 3.55-3.68
2 Pm 0.2564 0.0551 0.0000  6 Nd 3.30-3.43, 3 Tm 3.55-3.68
3 Pm 0.7436 0.9449 0.0000  6 Nd 3.30-3.43, 3 Tm 3.55-3.68
4 Pm 0.9449 0.7436 0.0000  6 Nd 3.30-3.43, 3 Tm 3.55-3.68
5 Nd 0.0941 0.4564 0.5000  2 Pm 3.43, 6 Tm 3.53-3.74, 4 Nd 3.63-3.84
6 Nd 0.1333 0.8667 0.5000  4 Pm 3.33, 4 Tm 3.61, 2 Nd 3.70
7 Nd 0.2106 0.2106 0.5000  4 Pm 3.30, 4 Tm 3.67
8 Nd 0.3400 0.6600 0.5000  8 Tm 3.69-3.72, 5 Nd 3.70-4.09
9 Nd 0.4564 0.0941 0.5000  2 Pm 3.43, 6 Tm 3.53-3.74, 4 Nd 3.63-3.84
10 Nd 0.5000 0.5000 0.5000  8 Tm 3.52, 2 Nd 3.70
11 Nd 0.5436 0.9059 0.5000  2 Pm 3.43, 6 Tm 3.53-3.74, 4 Nd 3.63-3.84
12 Nd 0.6600 0.3400 0.5000  8 Tm 3.69-3.72, 5 Nd 3.70-4.09
13 Nd 0.7894 0.7894 0.5000  4 Pm 3.30, 4 Tm 3.67
14 Nd 0.8667 0.1333 0.5000  4 Pm 3.33, 4 Tm 3.61, 2 Nd 3.70
15 Nd 0.9059 0.5436 0.5000  2 Pm 3.43, 6 Tm 3.53-3.74, 4 Nd 3.63-3.84
16 Tm 0.0000 0.0000 0.0000  4 Pm 3.68, 2 Tm 3.70, 8 Nd 3.88-4.01
17 Tm 0.1333 0.6643 0.0000  3 Tm 3.42-3.70, 8 Nd 3.53-3.74, 1 Pm 3.55
18 Tm 0.2887 0.4348 0.0000  8 Nd 3.52-3.72, 1 Pm 3.55, 3 Tm 3.70-3.74
19 Tm 0.3357 0.8667 0.0000  3 Tm 3.42-3.70, 8 Nd 3.53-3.74, 1 Pm 3.55
20 Tm 0.4348 0.2887 0.0000  8 Nd 3.52-3.72, 1 Pm 3.55, 3 Tm 3.70-3.74
21 Tm 0.5652 0.7113 0.0000  8 Nd 3.52-3.72, 1 Pm 3.55, 3 Tm 3.70-3.74
22 Tm 0.6643 0.1333 0.0000  3 Tm 3.42-3.70, 8 Nd 3.53-3.74, 1 Pm 3.55
23 Tm 0.7113 0.5652 0.0000  8 Nd 3.52-3.72, 1 Pm 3.55, 3 Tm 3.70-3.74
24 Tm 0.8667 0.3357 0.0000  3 Tm 3.42-3.70, 8 Nd 3.53-3.74, 1 Pm 3.55

***

First-principles (PBE) data for a geometry-optimized Pm6NdTm3 structure, as listed in the Alexandria database.

* offset from the most stable computed form: 0.000 eV per atom

abc: 11.7192 11.7192 6.4457
angles: 90.00 90.00 130.71
With the nearest neighbours (Å) after each atom.
Sites, in units of the cell vectors:
1 Pm 0.0149 0.9851 0.5000  2 Pm 3.29, 1 Nd 3.34, 4 Tm 3.51-3.65
2 Pm 0.1071 0.5447 0.0339  3 Tm 3.33-3.69, 3 Pm 3.40-3.64, 1 Nd 3.63
3 Pm 0.2626 0.3798 0.2836  3 Tm 3.35-3.58, 3 Pm 3.49-3.75
4 Pm 0.3009 0.6991 0.5057  1 Tm 3.16, 1 Nd 3.33, 2 Pm 3.51
5 Pm 0.3798 0.2626 0.7836  3 Tm 3.35-3.58, 3 Pm 3.49-3.75
6 Pm 0.4553 0.8929 0.0339  3 Tm 3.33-3.69, 3 Pm 3.40-3.64, 1 Nd 3.63
7 Pm 0.5447 0.1071 0.5339  3 Tm 3.33-3.69, 3 Pm 3.40-3.64, 1 Nd 3.63
8 Pm 0.6202 0.7374 0.2836  3 Tm 3.35-3.58, 3 Pm 3.49-3.75
9 Pm 0.6991 0.3009 0.0057  1 Tm 3.16, 1 Nd 3.33, 2 Pm 3.51
10 Pm 0.7374 0.6202 0.7836  3 Tm 3.35-3.58, 3 Pm 3.49-3.75
11 Pm 0.8929 0.4553 0.5339  3 Tm 3.33-3.69, 3 Pm 3.40-3.64, 1 Nd 3.63
12 Pm 0.9851 0.0149 0.0000  2 Pm 3.29, 1 Nd 3.34, 4 Tm 3.51-3.65
13 Nd 0.1577 0.8423 0.7124  4 Pm 3.33-3.63, 2 Tm 3.57
14 Nd 0.8423 0.1577 0.2124  4 Pm 3.33-3.63, 2 Tm 3.57
15 Tm 0.0426 0.2952 0.6922  2 Tm 3.30-3.45, 5 Pm 3.33-3.65, 1 Nd 3.57
16 Tm 0.2952 0.0426 0.1922  2 Tm 3.30-3.45, 5 Pm 3.33-3.65, 1 Nd 3.57
17 Tm 0.4185 0.5815 0.8044  3 Pm 3.16-3.46, 2 Tm 3.45
18 Tm 0.5815 0.4185 0.3044  3 Pm 3.16-3.46, 2 Tm 3.45
19 Tm 0.7048 0.9574 0.6922  2 Tm 3.30-3.45, 5 Pm 3.33-3.65, 1 Nd 3.57
20 Tm 0.9574 0.7048 0.1922  2 Tm 3.30-3.45, 5 Pm 3.33-3.65, 1 Nd 3.57

***

First-principles (PBE) data for a geometry-optimized Pm12Nd5Tm2 structure, as listed in the Alexandria database.

* offset from the most stable computed form: 0.000 eV per atom

abc: 10.7879 10.7879 6.2714
angles: 100.70 100.70 66.46
With the nearest neighbours (Å) after each atom.
Sites, in units of the cell vectors:
1 Pm 0.0491 0.5589 0.8017  5 Pm 3.43-3.65, 1 Tm 3.49, 3 Nd 3.50-3.72
2 Pm 0.0526 0.0526 0.2732  4 Pm 3.53-3.75, 2 Tm 3.64, 2 Nd 3.79-3.84
3 Pm 0.1439 0.6509 0.3814  1 Tm 3.35, 3 Nd 3.41-3.70, 5 Pm 3.43-3.67
4 Pm 0.3491 0.8561 0.6186  1 Tm 3.35, 3 Nd 3.41-3.70, 5 Pm 3.43-3.67
5 Pm 0.3810 0.3810 0.0010  4 Nd 3.38-3.61, 2 Pm 3.44, 2 Tm 3.47
6 Pm 0.4411 0.9509 0.1983  5 Pm 3.43-3.65, 1 Tm 3.49, 3 Nd 3.50-3.72
7 Pm 0.5589 0.0491 0.8017  5 Pm 3.43-3.65, 1 Tm 3.49, 3 Nd 3.50-3.72
8 Pm 0.6190 0.6190 0.9990  4 Nd 3.38-3.61, 2 Pm 3.44, 2 Tm 3.47
9 Pm 0.6509 0.1439 0.3814  1 Tm 3.35, 3 Nd 3.41-3.70, 5 Pm 3.43-3.67
10 Pm 0.8561 0.3491 0.6186  1 Tm 3.35, 3 Nd 3.41-3.70, 5 Pm 3.43-3.67
11 Pm 0.9474 0.9474 0.7268  4 Pm 3.53-3.75, 2 Tm 3.64, 2 Nd 3.79-3.84
12 Pm 0.9509 0.4411 0.1983  5 Pm 3.43-3.65, 1 Tm 3.49, 3 Nd 3.50-3.72
13 Nd 0.1760 0.1760 0.8574  6 Pm 3.41-3.79, 2 Nd 3.57-3.77
14 Nd 0.2845 0.2845 0.4450  8 Pm 3.50-3.72, 3 Nd 3.57-3.83
15 Nd 0.5000 0.5000 0.5000  6 Pm 3.38-3.51
16 Nd 0.7155 0.7155 0.5550  8 Pm 3.50-3.72, 3 Nd 3.57-3.83
17 Nd 0.8240 0.8240 0.1426  6 Pm 3.41-3.79, 2 Nd 3.57-3.77
18 Tm 0.2695 0.7305 0.0000  8 Pm 3.35-3.64
19 Tm 0.7305 0.2695 0.0000  8 Pm 3.35-3.64

***

First-principles (PBE) data for a geometry-optimized Pm6Nd3Tm structure, as listed in the Alexandria database.

* offset from the most stable computed form: 0.000 eV per atom

abc: 11.1129 11.1129 6.4935
angles: 90.00 90.00 120.67
With the nearest neighbours (Å) after each atom.
Sites, in units of the cell vectors:
1 Pm 0.0354 0.9646 0.5000  1 Tm 3.43, 4 Pm 3.52-3.84, 4 Nd 3.55-3.59
2 Pm 0.0576 0.4759 0.9994  3 Pm 3.18-3.51, 2 Nd 3.33-3.50, 1 Tm 3.37
3 Pm 0.2759 0.7241 0.2850  4 Pm 3.18-3.49, 1 Tm 3.42, 1 Nd 3.49
4 Pm 0.2867 0.3729 0.1902  3 Nd 3.45-3.57, 5 Pm 3.51-3.84
5 Pm 0.3729 0.2867 0.6902  3 Nd 3.45-3.57, 5 Pm 3.51-3.84
6 Pm 0.4759 0.0576 0.4994  3 Pm 3.18-3.51, 2 Nd 3.33-3.50, 1 Tm 3.37
7 Pm 0.5241 0.9424 0.9994  3 Pm 3.18-3.51, 2 Nd 3.33-3.50, 1 Tm 3.37
8 Pm 0.6271 0.7133 0.1902  3 Nd 3.45-3.57, 5 Pm 3.51-3.84
9 Pm 0.7133 0.6271 0.6902  3 Nd 3.45-3.57, 5 Pm 3.51-3.84
10 Pm 0.7241 0.2759 0.7850  4 Pm 3.18-3.49, 1 Tm 3.42, 1 Nd 3.49
11 Pm 0.9424 0.5241 0.4994  3 Pm 3.18-3.51, 2 Nd 3.33-3.50, 1 Tm 3.37
12 Pm 0.9646 0.0354 0.0000  1 Tm 3.43, 4 Pm 3.52-3.84, 4 Nd 3.55-3.59
13 Nd 0.0579 0.2896 0.5974  1 Tm 3.31, 6 Pm 3.33-3.59, 1 Nd 3.66
14 Nd 0.2896 0.0579 0.0974  1 Tm 3.31, 6 Pm 3.33-3.59, 1 Nd 3.66
15 Nd 0.3856 0.6144 0.7116  7 Pm 3.49-3.88, 2 Nd 3.66, 1 Tm 3.75
16 Nd 0.6144 0.3856 0.2116  7 Pm 3.49-3.88, 2 Nd 3.66, 1 Tm 3.75
17 Nd 0.7104 0.9421 0.5974  1 Tm 3.31, 6 Pm 3.33-3.59, 1 Nd 3.66
18 Nd 0.9421 0.7104 0.0974  1 Tm 3.31, 6 Pm 3.33-3.59, 1 Nd 3.66
19 Tm 0.1921 0.8079 0.7493  2 Nd 3.31, 6 Pm 3.37-3.59
20 Tm 0.8079 0.1921 0.2493  2 Nd 3.31, 6 Pm 3.37-3.59

***

First-principles (PBE) data for a geometry-optimized PmNd2Tm structure, as listed in the Alexandria database.

* offset from the most stable computed form: 0.111 eV per atom

abc: 5.7656 5.7656 5.7656
angles: 60.00 60.00 60.00
With the nearest neighbours (Å) after each atom.
Sites, in units of the cell vectors:
1 Pm 0.0000 0.0000 0.0000  8 Nd 3.53
2 Nd 0.2500 0.2500 0.2500  4 Tm 3.53, 4 Pm 3.53
3 Nd 0.7500 0.7500 0.7500  4 Pm 3.53, 4 Tm 3.53
4 Tm 0.5000 0.5000 0.5000  8 Nd 3.53

***

First-principles (PBE) data for a geometry-optimized PmNd7Tm2 structure, as listed in the Alexandria database.

* offset from the most stable computed form: 0.430 eV per atom

abc: 9.2315 9.2315 5.7643
angles: 90.00 90.00 121.82
With the nearest neighbours (Å) after each atom.
Sites, in units of the cell vectors:
1 Pm 0.0000 0.0000 0.0000  10 Nd 3.69-3.80
2 Nd 0.0636 0.2961 0.5000  2 Tm 3.21-3.31, 2 Nd 3.23-3.43
3 Nd 0.2289 0.7711 0.0000  2 Tm 3.08
4 Nd 0.2961 0.0636 0.5000  2 Tm 3.21-3.31, 2 Nd 3.23-3.43
5 Nd 0.5000 0.5000 0.5000  2 Tm 3.30, 4 Nd 3.43
6 Nd 0.7039 0.9364 0.5000  2 Tm 3.21-3.31, 2 Nd 3.23-3.43
7 Nd 0.7711 0.2289 0.0000  2 Tm 3.08
8 Nd 0.9364 0.7039 0.5000  2 Tm 3.21-3.31, 2 Nd 3.23-3.43
9 Tm 0.2956 0.7044 0.5000  7 Nd 3.08-3.31
10 Tm 0.7044 0.2956 0.5000  7 Nd 3.08-3.31

***

First-principles (PBE) data for a geometry-optimized Pm5Nd6Tm structure, as listed in the Alexandria database.

abc: 9.6525 9.6525 5.1705
angles: 105.51 105.51 106.61
With the nearest neighbours (Å) after each atom.
Sites, in units of the cell vectors:
1 Pm 0.0000 0.0000 0.0000  8 Nd 3.65-3.67, 4 Pm 3.65
2 Pm 0.1668 0.8332 0.5000  8 Nd 3.64-3.66, 4 Pm 3.65-3.66
3 Pm 0.3341 0.6659 0.0000  8 Nd 3.63-3.67, 2 Tm 3.64, 2 Pm 3.66
4 Pm 0.6659 0.3341 0.0000  8 Nd 3.63-3.67, 2 Tm 3.64, 2 Pm 3.66
5 Pm 0.8332 0.1668 0.5000  8 Nd 3.64-3.66, 4 Pm 3.65-3.66
6 Nd 0.0853 0.4176 0.2515  1 Tm 3.63, 7 Pm 3.64-3.67, 4 Nd 3.65-3.66
7 Nd 0.2520 0.2520 0.7521  6 Pm 3.63-3.67, 2 Tm 3.64, 4 Nd 3.65
8 Nd 0.4176 0.0853 0.2515  1 Tm 3.63, 7 Pm 3.64-3.67, 4 Nd 3.65-3.66
9 Nd 0.5824 0.9147 0.7485  1 Tm 3.63, 7 Pm 3.64-3.67, 4 Nd 3.65-3.66
10 Nd 0.7480 0.7480 0.2479  6 Pm 3.63-3.67, 2 Tm 3.64, 4 Nd 3.65
11 Nd 0.9147 0.5824 0.7485  1 Tm 3.63, 7 Pm 3.64-3.67, 4 Nd 3.65-3.66
12 Tm 0.5000 0.5000 0.5000  8 Nd 3.63-3.64, 4 Pm 3.64

***

First-principles (PBE) data for a geometry-optimized Pm2NdTm8 structure, as listed in the Alexandria database.

* offset from the most stable computed form: 0.089 eV per atom

abc: 9.3678 9.3678 9.3678
angles: 146.18 129.31 62.34
With the nearest neighbours (Å) after each atom.
Sites, in units of the cell vectors:
1 Pm 0.2001 0.2001 0.0000  10 Tm 3.34-3.61
2 Pm 0.7999 0.7999 0.0000  10 Tm 3.34-3.61
3 Nd 0.5000 0.5000 0.0000  8 Tm 3.24-3.60
4 Tm 0.0684 0.3605 0.7079  1 Nd 3.24, 6 Tm 3.33-3.61, 3 Pm 3.34-3.48
5 Tm 0.2067 0.0000 0.2067  7 Tm 3.32-3.53, 2 Nd 3.60, 2 Pm 3.61
6 Tm 0.3386 0.8386 0.5000  8 Tm 3.50-3.61, 2 Pm 3.52, 2 Nd 3.76
7 Tm 0.3474 0.6395 0.7079  1 Nd 3.24, 6 Tm 3.33-3.61, 3 Pm 3.34-3.48
8 Tm 0.6526 0.3605 0.2921  1 Nd 3.24, 6 Tm 3.33-3.61, 3 Pm 3.34-3.48
9 Tm 0.6614 0.1614 0.5000  8 Tm 3.50-3.61, 2 Pm 3.52, 2 Nd 3.76
10 Tm 0.7933 0.0000 0.7933  7 Tm 3.32-3.53, 2 Nd 3.60, 2 Pm 3.61
11 Tm 0.9316 0.6395 0.2921  1 Nd 3.24, 6 Tm 3.33-3.61, 3 Pm 3.34-3.48

***

Q: Which DFT formation energy values were calculated for the entries above? A: 0.12; 0.14; 0.02; 0.18; 0.06; 0.13; 0.10; 0.14; 0.13; 0.64; 0.01; 0.11, in eV per atom.